# PBE La2TmIn, optimized geometry
data_La2TmIn
_chemical_formula_sum 'La2 Tm1 In1'
_cell_length_a 4.272
_cell_length_b 4.272
_cell_length_c 7.027
_cell_angle_alpha 90.00
_cell_angle_beta 90.00
_cell_angle_gamma 90.00
_symmetry_space_group_name_H-M 'P 4/m m m'
_symmetry_Int_Tables_number 123
_symmetry_space_group_name_Hall '-P 4 2'
loop_
_atom_site_label
_atom_site_type_symbol
_atom_site_fract_x
_atom_site_fract_y
_atom_site_fract_z
_atom_site_occupancy
La1 La 0.000 0.000 0.234 1
Tm1 Tm 0.500 0.500 0.500 1
In1 In 0.500 0.500 0.000 1
# Fermi-level density of states: 5.746 states/eV/f.u.
# Calculated formation energy: -0.199 eV per atom
# E above lowest polymorph: 0.279 eV per formula unit
# Size of the total moment: 0.00 μB/f.u.


# PBE La2TmIn3, optimized geometry
data_La2TmIn3
_chemical_formula_sum 'La8 Tm4 In12'
_cell_length_a 17.179
_cell_length_b 6.604
_cell_length_c 6.291
_cell_angle_alpha 90.00
_cell_angle_beta 103.90
_cell_angle_gamma 90.00
_symmetry_space_group_name_H-M 'C 1 2/c 1'
_symmetry_Int_Tables_number 15
loop_
_symmetry_equiv_pos_as_xyz
'x,y,z'
'-x,-y,-z'
'-x,y,-z+1/2'
'x,-y,z+1/2'
'x+1/2,y+1/2,z'
'-x+1/2,-y+1/2,-z'
'-x+1/2,y+1/2,-z+1/2'
'x+1/2,-y+1/2,z+1/2'
loop_
_atom_site_label
_atom_site_type_symbol
_atom_site_fract_x
_atom_site_fract_y
_atom_site_fract_z
_atom_site_occupancy
La1 La 0.174 0.113 0.100 1
Tm1 Tm 0.000 0.363 0.750 1
In1 In 0.000 0.132 0.250 1
In2 In 0.150 0.388 0.546 1
# Fermi-level density of states: 5.866 states/eV/f.u.
# Calculated formation energy: -0.415 eV per atom
# E above lowest polymorph: 0.469 eV per formula unit
# Size of the total moment: 0.00 μB/f.u.


# PBE LaTm5In3, optimized geometry
data_LaTm5In3
_chemical_formula_sum 'La2 Tm10 In6'
_cell_length_a 9.3096
_cell_length_b 9.3096
_cell_length_c 6.7118
_cell_angle_alpha 90.00
_cell_angle_beta 90.00
_cell_angle_gamma 120.00
_symmetry_space_group_name_H-M 'P 63/m c m'
_symmetry_Int_Tables_number 193
_symmetry_space_group_name_Hall '-P 6c 2'
loop_
_atom_site_label
_atom_site_type_symbol
_atom_site_fract_x
_atom_site_fract_y
_atom_site_fract_z
_atom_site_occupancy
La1 La 0.0000 0.0000 0.0000 1
Tm1 Tm 0.0000 0.3309 0.2500 1
Tm2 Tm 0.3333 0.6667 0.0000 1
In1 In 0.0000 0.3419 0.7500 1
# Fermi-level density of states: 9.517 states/eV/f.u.
# Calculated formation energy: -0.338 eV per atom
# Size of the total moment: 0.08 μB/f.u.


# PBE La2TmIn3, optimized geometry
data_La2TmIn3
_chemical_formula_sum 'La2 Tm1 In3'
_cell_length_a 3.829
_cell_length_b 3.829
_cell_length_c 11.900
_cell_angle_alpha 90.00
_cell_angle_beta 90.00
_cell_angle_gamma 90.00
_symmetry_space_group_name_H-M 'P 4/m m m'
_symmetry_Int_Tables_number 123
_symmetry_space_group_name_Hall '-P 4 2'
loop_
_atom_site_label
_atom_site_type_symbol
_atom_site_fract_x
_atom_site_fract_y
_atom_site_fract_z
_atom_site_occupancy
La1 La 0.000 0.000 0.176 1
Tm1 Tm 0.000 0.000 0.500 1
In1 In 0.500 0.500 0.000 1
In2 In 0.500 0.500 0.353 1
# Fermi-level density of states: 3.700 states/eV/f.u.
# Calculated formation energy: -0.493 eV per atom
# E above lowest polymorph: 0.000 eV per formula unit
# Size of the total moment: 0.00 μB/f.u.


# PBE La5Tm2In4, optimized geometry
data_La5Tm2In4
_chemical_formula_sum 'La5 Tm2 In4'
_cell_length_a 8.953
_cell_length_b 3.416
_cell_length_c 10.930
_cell_angle_alpha 90.00
_cell_angle_beta 95.12
_cell_angle_gamma 90.00
_symmetry_space_group_name_H-M 'P 1 2/m 1'
_symmetry_Int_Tables_number 10
loop_
_symmetry_equiv_pos_as_xyz
'x,y,z'
'-x,-y,-z'
'-x,y,-z'
'x,-y,z'
loop_
_atom_site_label
_atom_site_type_symbol
_atom_site_fract_x
_atom_site_fract_y
_atom_site_fract_z
_atom_site_occupancy
La1 La 0.000 0.000 0.000 1
La2 La 0.041 0.000 0.338 1
La3 La 0.345 0.000 0.861 1
Tm1 Tm 0.424 0.000 0.363 1
In1 In 0.264 0.500 0.574 1
In2 In 0.301 0.500 0.132 1
# Fermi-level density of states: 13.469 states/eV/f.u.
# Calculated formation energy: -0.319 eV per atom
# Size of the total moment: 0.37 μB/f.u.


# PBE La2TmIn, optimized geometry
data_La2TmIn
_chemical_formula_sum 'La2 Tm1 In1'
_cell_length_a 4.914
_cell_length_b 4.914
_cell_length_c 5.110
_cell_angle_alpha 90.00
_cell_angle_beta 90.00
_cell_angle_gamma 90.00
_symmetry_space_group_name_H-M 'P 4/m m m'
_symmetry_Int_Tables_number 123
_symmetry_space_group_name_Hall '-P 4 2'
loop_
_atom_site_label
_atom_site_type_symbol
_atom_site_fract_x
_atom_site_fract_y
_atom_site_fract_z
_atom_site_occupancy
La1 La 0.000 0.500 0.000 1
Tm1 Tm 0.000 0.000 0.500 1
In1 In 0.500 0.500 0.500 1
# Fermi-level density of states: 5.827 states/eV/f.u.
# Calculated formation energy: -0.268 eV per atom
# E above lowest polymorph: 0.000 eV per formula unit
# Size of the total moment: 0.00 μB/f.u.


# PBE LaTm4In5, optimized geometry
data_LaTm4In5
_chemical_formula_sum 'La1 Tm4 In5'
_cell_length_a 3.730
_cell_length_b 3.730
_cell_length_c 19.173
_cell_angle_alpha 90.00
_cell_angle_beta 90.00
_cell_angle_gamma 90.00
_symmetry_space_group_name_H-M 'P 4/m m m'
_symmetry_Int_Tables_number 123
_symmetry_space_group_name_Hall '-P 4 2'
loop_
_atom_site_label
_atom_site_type_symbol
_atom_site_fract_x
_atom_site_fract_y
_atom_site_fract_z
_atom_site_occupancy
La1 La 0.000 0.000 0.000 1
Tm1 Tm 0.000 0.000 0.210 1
Tm2 Tm 0.000 0.000 0.404 1
In1 In 0.500 0.500 0.114 1
In2 In 0.500 0.500 0.307 1
In3 In 0.500 0.500 0.500 1
# Fermi-level density of states: 5.897 states/eV/f.u.
# Calculated formation energy: -0.446 eV per atom
# Size of the total moment: 0.00 μB/f.u.


# PBE LaTm5In4, optimized geometry
data_LaTm5In4
_chemical_formula_sum 'La1 Tm5 In4'
_cell_length_a 3.515
_cell_length_b 3.515
_cell_length_c 21.961
_cell_angle_alpha 90.00
_cell_angle_beta 90.00
_cell_angle_gamma 90.00
_symmetry_space_group_name_H-M 'P 4/m m m'
_symmetry_Int_Tables_number 123
_symmetry_space_group_name_Hall '-P 4 2'
loop_
_atom_site_label
_atom_site_type_symbol
_atom_site_fract_x
_atom_site_fract_y
_atom_site_fract_z
_atom_site_occupancy
La1 La 0.000 0.000 0.000 1
Tm1 Tm 0.500 0.500 0.121 1
Tm2 Tm 0.500 0.500 0.310 1
Tm3 Tm 0.500 0.500 0.500 1
In1 In 0.000 0.000 0.214 1
In2 In 0.000 0.000 0.405 1
# Fermi-level density of states: 5.217 states/eV/f.u.
# Calculated formation energy: -0.351 eV per atom
# Size of the total moment: 0.03 μB/f.u.


For the records above, the corresponding density values read 7.27; 7.59; 8.75; 7.53; 7.44; 7.56; 8.64; 8.83 g cm⁻³.